## La2MnSi4Ir3 (PBE)

Data for a relaxed La2MnSi4Ir3 crystal.

```
La2MnSi4Ir3
1.0
4.200 0.000 0.000
0.000 4.200 0.000
0.000 0.000 10.101
La Mn Si Ir
2 1 4 3
Cartesian
0.000 2.100 2.480
2.100 0.000 7.621
0.000 0.000 5.051
0.000 0.000 0.000
0.000 2.100 6.358
2.100 0.000 3.744
2.100 2.100 0.000
0.000 2.100 8.848
2.100 0.000 1.253
2.100 2.100 5.051
```

DFT total energy = -7.621 eV/atom
density of states at the Fermi level = 7.3 states/eV per cell
symmetry = P-4m2 (115)

=====

## La2MnSi3Ir4 (PBE)

Data for a relaxed La2MnSi3Ir4 crystal.

```
La2MnSi3Ir4
1.0
4.172 0.000 0.000
0.000 4.172 0.000
0.000 0.000 10.321
La Mn Si Ir
2 1 3 4
Cartesian
0.000 2.086 2.555
2.086 0.000 7.766
2.086 2.086 0.000
0.000 0.000 0.000
0.000 2.086 6.443
2.086 0.000 3.878
0.000 0.000 5.161
0.000 2.086 8.902
2.086 0.000 1.419
2.086 2.086 5.161
```

DFT total energy = -7.968 eV/atom
density of states at the Fermi level = 4.8 states/eV per cell
symmetry = P-4m2 (115)

=====

## LaMnTc2Ir (PBE)

Data for a relaxed LaMnTc2Ir crystal.

```
LaMnTc2Ir
1.0
4.516 0.000 0.000
0.000 4.516 0.000
0.000 0.000 4.653
La Mn Tc Ir
1 1 2 1
Cartesian
0.000 0.000 0.000
2.258 2.258 2.327
0.000 2.258 2.327
2.258 0.000 2.327
2.258 2.258 0.000
```

formation enthalpy at 0 K = 0.476 eV per atom
DFT total energy = -8.262 eV/atom
density of states at the Fermi level = 5.7 states/eV per cell
symmetry = P4/mmm (123)

=====

## LaTiMn2Ir (PBE)

Data for a relaxed LaTiMn2Ir crystal.

```
LaTiMn2Ir
1.0
4.732 0.000 0.000
0.000 4.732 0.000
0.000 0.000 4.984
La Ti Mn Ir
1 1 2 1
Cartesian
0.000 0.000 0.000
2.366 2.366 2.492
0.000 2.366 0.000
2.366 0.000 0.000
0.000 0.000 2.492
```

formation enthalpy at 0 K = 1.565 eV per atom
DFT total energy = -6.440 eV/atom
density of states at the Fermi level = 4.6 states/eV per cell
symmetry = P4/mmm (123)

=====

## LaMnTl2Ir (PBE)

Data for a relaxed LaMnTl2Ir crystal.

```
LaMnTl2Ir
1.0
5.208 0.000 0.000
0.000 5.208 0.000
0.000 0.000 4.741
La Mn Tl Ir
1 1 2 1
Cartesian
0.000 0.000 0.000
2.604 2.604 0.000
0.000 2.604 2.370
2.604 0.000 2.370
2.604 2.604 2.370
```

formation enthalpy at 0 K = 0.562 eV per atom
DFT total energy = -4.976 eV/atom
density of states at the Fermi level = 8.2 states/eV per cell
symmetry = P4/mmm (123)

=====

## La2ZrMnIr (PBE)

Data for a relaxed La2ZrMnIr crystal.

```
La2ZrMnIr
1.0
5.542 0.000 0.000
0.000 5.542 0.000
0.000 0.000 4.524
La Zr Mn Ir
2 1 1 1
Cartesian
0.000 2.771 0.000
2.771 0.000 0.000
0.000 0.000 0.000
0.000 0.000 2.262
2.771 2.771 2.262
```

formation enthalpy at 0 K = 1.030 eV per atom
DFT total energy = -6.257 eV/atom
density of states at the Fermi level = 3.7 states/eV per cell
symmetry = P4/mmm (123)